Compound: Pm2CoPO8
Source: the Alexandria database
Functional: PBE with a Hubbard U
Structure: relaxed

a b c (Å): 6.3411 6.3411 4.6779
angles (deg): 90.00 90.00 120.00
Space group P-3m1 (No. 164)
Unique sites:
Pm (0.3333, 0.6667, 0.2399)
Co (0.0000, 0.0000, 0.5000)
P (0.0000, 0.0000, 0.0000)
O (0.1228, 0.2456, 0.2242)
O (0.3333, 0.6667, 0.7371)

Calculated values
Fermi-level density of states: 9.02 states/eV per cell
Crystal system: trigonal
DFT total energy: -6.8668 eV/atom